Compound: LiSi2
Source: Alexandria via LeMat-Bulk
Functional: PBE-GGA
Structure: relaxed

Calculated values
* V: 90.0 Å³/cell
* total magnetization: 0.00 μB per cell
* formation energy (no corrections): -0.1 eV/f.u.

Unit cell a=4.2785 b=4.2785 c=5.6761 alpha=90.00 beta=90.00 gamma=120.00
Last column: nearest neighbours and their distance in Å.
Positions (direct):
Si 0.6667 0.3333 0.4657  4 Si 2.45-2.50
Si 0.3333 0.6667 0.9657  4 Si 2.45-2.50
Si 0.6667 0.3333 0.0343  4 Si 2.45-2.50
Li 0.0000 0.0000 0.2500  12 Si 2.76-2.95, 2 Li 2.84
Li 0.0000 0.0000 0.7500  12 Si 2.76-2.95, 2 Li 2.84
Si 0.3333 0.6667 0.5343  4 Si 2.45-2.50

=====

Compound: Ce2TmPaS5
Source: Alexandria via LeMat-Bulk
Functional: PBE-GGA
Structure: relaxed

Calculated values
* V: 240.2 Å³/cell
* total magnetization: 5.43 μB per cell
* formation energy (no corrections): -12.0 eV/f.u.

Unit cell a=4.8145 b=4.8145 c=10.3616 alpha=90.00 beta=90.00 gamma=90.00
Last column: nearest neighbours and their distance in Å.
Positions (direct):
S 0.5000 0.5000 0.0000  2 Ce 3.02
S 0.5000 0.0000 0.5000  2 Tm 2.41
Ce 0.5000 0.5000 0.2912  5 S 3.02-3.24
S 0.0000 0.0000 0.7523  1 Pa 2.57, 1 Tm 2.61
Pa 0.0000 0.0000 0.0000  2 S 2.57
Tm 0.0000 0.0000 0.5000  6 S 2.41-2.61
S 0.0000 0.5000 0.5000  2 Tm 2.41
S 0.0000 0.0000 0.2477  1 Pa 2.57, 1 Tm 2.61
Ce 0.5000 0.5000 0.7088  5 S 3.02-3.24

=====

Compound: ZrAgCl2
Source: Alexandria via LeMat-Bulk
Functional: PBE-GGA
Structure: relaxed

Calculated values
* V: 81.8 Å³/cell
* total magnetization: 1.01 μB per cell
* formation energy (no corrections): -0.4 eV/f.u.

Unit cell a=4.8735 b=4.8735 c=4.8735 alpha=60.00 beta=60.00 gamma=60.00
Last column: nearest neighbours and their distance in Å.
Positions (direct):
Zr 0.7500 0.7500 0.7500  4 Cl 2.98, 4 Ag 2.98
Cl 0.0000 0.0000 0.0000  4 Cl 2.98, 4 Zr 2.98
Ag 0.5000 0.5000 0.5000  4 Zr 2.98, 4 Cl 2.98
Cl 0.2500 0.2500 0.2500  4 Ag 2.98, 4 Cl 2.98

=====

Compound: Mg2Ir
Source: Alexandria via LeMat-Bulk
Functional: PBE-GGA
Structure: relaxed

Calculated values
* V: 105.3 Å³/cell
* total magnetization: 0.00 μB per cell
* calculated formation energy: -100 meV per atom

Unit cell a=7.3912 b=7.3912 c=4.7857 alpha=90.00 beta=90.00 gamma=156.24
Last column: nearest neighbours and their distance in Å.
Positions (direct):
Ir 0.7297 0.2703 0.7500  6 Mg 2.63-2.85, 4 Ir 2.90
Mg 0.9252 0.0748 0.2500  2 Ir 2.71, 4 Mg 2.92
Mg 0.6223 0.3777 0.2500  4 Ir 2.63-2.85, 4 Mg 2.92
Mg 0.0748 0.9252 0.7500  2 Ir 2.71, 4 Mg 2.92
Ir 0.2703 0.7297 0.2500  6 Mg 2.63-2.85, 4 Ir 2.90
Mg 0.3777 0.6223 0.7500  4 Ir 2.63-2.85, 4 Mg 2.92

=====

> Look up the total magnetization of the fourth one.

0.00 μB per cell

=====

> Among the records above, which one has the highest total magnetization?

Ce2TmPaS5

=====

What did the first record say?
Compound: LiSi2
Source: Alexandria via LeMat-Bulk
Functional: PBE-GGA
Structure: relaxed

Calculated values
* V: 90.0 Å³/cell
* total magnetization: 0.00 μB per cell
* formation energy (no corrections): -0.1 eV/f.u.

Unit cell a=4.2785 b=4.2785 c=5.6761 alpha=90.00 beta=90.00 gamma=120.00
Last column: nearest neighbours and their distance in Å.
Positions (direct):
Si 0.6667 0.3333 0.4657  4 Si 2.45-2.50
Si 0.3333 0.6667 0.9657  4 Si 2.45-2.50
Si 0.6667 0.3333 0.0343  4 Si 2.45-2.50
Li 0.0000 0.0000 0.2500  12 Si 2.76-2.95, 2 Li 2.84
Li 0.0000 0.0000 0.7500  12 Si 2.76-2.95, 2 Li 2.84
Si 0.3333 0.6667 0.5343  4 Si 2.45-2.50

=====

> The highest V belongs to which entry?

Ce2TmPaS5